No. 1
A plane-wave DFT calculation with PBE-GGA was carried out for an optimized crystal structure of BeSe2Br.

The structure in extended XYZ format:
```
4
Lattice="-2.422 -1.147 -3.955 -2.908 -0.592 3.744 -3.853 2.798 -0.445" Properties=species:S:1:pos:R:3 pbc="T T T"
Be -3.138 0.826 -2.200
Se 0.000 0.000 0.000
Br -3.381 1.103 1.649
Se -2.665 -0.869 -0.106
```

Calculated values
The calculation puts the distance to the lowest polymorph of the same formula at 0.6537 eV/atom. For the density of states at the Fermi level, the calculation gives 1.473 states/eV/cell. As for the space group: I4/mmm, No. 139. As for the formation energy (no corrections): 0.3580 eV per atom.

=====

No. 2
A plane-wave DFT calculation with PBE-GGA was carried out for an optimized crystal structure of BeSe2Br.

The structure in extended XYZ format:
```
4
Lattice="-3.547 -0.585 -3.547 0.311 -5.015 0.515 -2.202 0.088 2.188" Properties=species:S:1:pos:R:3 pbc="T T T"
Be -2.875 -0.248 -0.680
Br -0.945 -2.463 1.351
Se -1.618 -2.800 -1.516
Se 0.000 0.000 0.000
```

Calculated values
The calculation puts the distance to the lowest polymorph of the same formula at 1.1145 eV/atom. For the density of states at the Fermi level, the calculation gives 3.802 states/eV/cell. As for the space group: P4/mmm, No. 123. As for the formation energy (no corrections): 0.8188 eV per atom.

=====

No. 3
A plane-wave DFT calculation with PBE-GGA was carried out for an optimized crystal structure of BeSe2Br.

The structure in extended XYZ format:
```
4
Lattice="7.567 -0.004 0.000 5.779 4.885 0.000 -6.673 -2.441 2.603" Properties=species:S:1:pos:R:3 pbc="T T T"
Se 0.000 0.000 0.000
Se 6.673 2.441 0.000
Be 2.889 2.443 1.301
Br 3.783 -0.002 1.301
```

Calculated values
The calculation puts the distance to the lowest polymorph of the same formula at 0.6349 eV/atom. For the density of states at the Fermi level, the calculation gives 2.342 states/eV/cell. As for the space group: I4/mmm, No. 139. As for the formation energy (no corrections): 0.3392 eV per atom.

=====

No. 4
A plane-wave DFT calculation with PBE-GGA was carried out for an optimized crystal structure of BeSeBr.

The structure in extended XYZ format:
```
3
Lattice="4.433 0.000 0.000 2.217 3.839 0.000 2.217 1.280 3.620" Properties=species:S:1:pos:R:3 pbc="T T T"
Br 0.000 0.000 0.000
Se 4.433 2.560 1.810
Be 2.217 1.280 0.905
```

Calculated values
The calculation puts the distance to the lowest polymorph of the same formula at 0.8548 eV/atom. For the density of states at the Fermi level, the calculation gives 2.216 states/eV/cell. As for the space group: F-43m, No. 216. As for the formation energy (no corrections): 0.3581 eV per atom.